1.
Na2NdPaO5 after structural relaxation, computed with PBE-GGA.

Its space group is P4/mmm (123). The crystal system is tetragonal. For the volume, the calculation gives 157 Å³/cell. Its formation energy (no corrections) is -60.57 kcal/mol of atoms.

Cell: 4.200 4.200 8.897 Å, 90.00 90.00 90.00°
Fractional positions:
Na 0.000 0.000 0.232
Na 0.000 0.000 0.768
Nd 0.500 0.500 0.500
Pa 0.500 0.500 0.000
O 0.000 0.000 0.500
O 0.000 0.500 0.000
O 0.500 0.000 0.000
O 0.500 0.500 0.249
O 0.500 0.500 0.751



2.
NaNd2PbO6 after structural relaxation, computed with PBE-GGA.

Its space group is R3 (146). The crystal system is trigonal. For the volume, the calculation gives 161 Å³/cell. Its formation energy (no corrections) is -47.66 kcal/mol of atoms.

Cell: 6.268 6.268 6.268 Å, 56.70 56.70 56.70°
Fractional positions:
Na 0.000 0.000 0.000
Nd 0.278 0.278 0.278
Nd 0.782 0.782 0.782
Pb 0.493 0.493 0.493
O 0.116 0.667 0.396
O 0.207 0.593 0.860
O 0.396 0.116 0.667
O 0.593 0.860 0.207
O 0.667 0.396 0.116
O 0.860 0.207 0.593



3.
NaNdPbO3 after structural relaxation, computed with PBE-GGA.

Its space group is P2_1/m (11). The crystal system is monoclinic. For the volume, the calculation gives 238 Å³/cell. Its formation energy (no corrections) is -47.55 kcal/mol of atoms.

Cell: 6.340 3.558 10.576 Å, 90.00 93.70 90.00°
Fractional positions:
Na 0.171 0.250 0.303
Na 0.829 0.750 0.697
Nd 0.360 0.250 0.617
Nd 0.640 0.750 0.383
Pb 0.252 0.750 0.897
Pb 0.748 0.250 0.103
O 0.096 0.250 0.782
O 0.302 0.750 0.470
O 0.484 0.750 0.753
O 0.516 0.250 0.247
O 0.698 0.250 0.530
O 0.904 0.750 0.218